A plane-wave DFT calculation with PBE was carried out for a geometry-optimized SmPuAlZn structure.

magnetization: 1.526 μB/atom
energy relative to the elements: -0.170 eV/atom
calculated volume: 24.06 A^3/atom

Lattice parameters (Å, degrees): 5.144 5.144 5.144 60.00 60.00 60.00
Fractional positions:
1 Zn 0.500 0.500 0.500
2 Al 0.000 0.000 0.000
3 Sm 0.250 0.250 0.250
4 Pu 0.750 0.750 0.750